No. 1
VASP calculation (GGA-PBE) on a relaxed structure of CsCdNiS3.

Geometry as extended XYZ:
```
12
Lattice="-7.715 -1.172 1.659 -0.606 -0.874 -3.434 5.250 -9.590 1.516" Properties=species:S:1:pos:R:3 pbc="T T T"
S -4.391 -2.029 0.351
S 0.385 -5.592 0.415
S -1.439 -9.748 -0.087
S 1.321 -9.607 -0.610
S -1.631 -1.888 -0.172
S -3.455 -6.044 -0.674
Ni -3.362 -2.196 -1.670
Ni 0.291 -9.440 1.411
Cd -1.965 -4.335 0.510
Cd -1.105 -7.301 -0.769
Cs 3.616 -7.151 0.242
Cs -6.687 -4.485 -0.501
```

Output
Uncorrected energy in eV/atom: -3.832

***

No. 2
VASP calculation (GGA-PBE) on a relaxed structure of AlZnCdFe.

Geometry as extended XYZ:
```
4
Lattice="0.000 3.132 3.132 3.132 0.000 3.132 3.132 3.132 0.000" Properties=species:S:1:pos:R:3 pbc="T T T"
Al 0.000 0.000 0.000
Fe 4.699 4.699 4.699
Cd 3.132 3.132 3.132
Zn 1.566 1.566 1.566
```

Output
Uncorrected energy in eV/atom: -3.349

***

No. 3
VASP calculation (GGA-PBE) on a relaxed structure of GdPaRe.

Geometry as extended XYZ:
```
3
Lattice="-3.729 -2.529 1.636 -4.146 2.200 0.972 -3.817 -0.730 -2.807" Properties=species:S:1:pos:R:3 pbc="T T T"
Re 0.000 0.000 0.000
Pa -2.923 -0.265 -0.050
Gd -8.769 -0.794 -0.149
```

Output
Uncorrected energy in eV/atom: -8.579
Formation energy from the elements in eV/atom: 0.279